A relaxed structure of CdH4Ru. Source: the Alexandria database, functional PBE.

abc: 6.019 6.019 4.918
angles: 108.41 108.41 49.86
Element x y z (fractional)
Cd (0.166, 0.166, 0.367)
Cd (0.834, 0.834, 0.633)
H (0.221, 0.587, 0.397)
H (0.263, 0.737, 0.000)
H (0.320, 0.320, 0.820)
H (0.413, 0.779, 0.603)
H (0.587, 0.221, 0.397)
H (0.680, 0.680, 0.180)
H (0.737, 0.263, 0.000)
H (0.779, 0.413, 0.603)
Ru (0.441, 0.441, 0.702)
Ru (0.559, 0.559, 0.298)

Values from the calculation:
- Energy: -45.79 eV for the cell shown
- Space-group type: No. 12


A relaxed structure of NaAc5Pb6. Source: the Alexandria database, functional PBE.

abc: 9.881 9.881 5.362
angles: 105.72 105.72 113.52
Element x y z (fractional)
Na (0.000, 0.000, 0.000)
Ac (0.153, 0.847, 0.500)
Ac (0.331, 0.669, 0.000)
Ac (0.500, 0.500, 0.500)
Ac (0.669, 0.331, 0.000)
Ac (0.847, 0.153, 0.500)
Pb (0.083, 0.417, 0.250)
Pb (0.250, 0.250, 0.749)
Pb (0.417, 0.083, 0.250)
Pb (0.583, 0.917, 0.750)
Pb (0.750, 0.750, 0.251)
Pb (0.917, 0.583, 0.750)

Values from the calculation:
- Energy: -49.49 eV for the cell shown
- Energy of formation: -448.0 meV/atom
- Space-group type: No. 12


A relaxed structure of Eu5As3. Source: the Alexandria database, functional PBE.

abc: 8.854 8.854 6.827
angles: 90.00 90.00 120.00
Element x y z (fractional)
Eu (0.000, 0.260, 0.250)
Eu (0.000, 0.740, 0.750)
Eu (0.260, 0.000, 0.250)
Eu (0.260, 0.260, 0.750)
Eu (0.333, 0.667, 0.000)
Eu (0.333, 0.667, 0.500)
Eu (0.667, 0.333, 0.000)
Eu (0.667, 0.333, 0.500)
Eu (0.740, 0.000, 0.750)
Eu (0.740, 0.740, 0.250)
As (0.000, 0.387, 0.750)
As (0.000, 0.613, 0.250)
As (0.387, 0.000, 0.750)
As (0.387, 0.387, 0.250)
As (0.613, 0.000, 0.250)
As (0.613, 0.613, 0.750)

Values from the calculation:
- Energy: -148.44 eV for the cell shown
- Energy of formation: -1112.7 meV/atom
- Space-group type: No. 193